[1]
First-principles (GGA-PBE) data for a relaxed structure of ScRuPt, as listed in the Alexandria database.

CIF file:
```
data_ScRuPt
_chemical_formula_sum 'Sc2 Ru2 Pt2'
_space_group_name_H-M_alt 'I 4 m m'
_space_group_IT_number 107
_space_group_name_Hall 'I 4 -2'
_cell_length_a 2.861
_cell_length_b 2.861
_cell_length_c 12.007
_cell_angle_alpha 90.00
_cell_angle_beta 90.00
_cell_angle_gamma 90.00
loop_
_atom_site_label
_atom_site_type_symbol
_atom_site_fract_x
_atom_site_fract_y
_atom_site_fract_z
_atom_site_occupancy
Sc1 Sc 0.000 0.000 0.000 1
Ru1 Ru 0.000 0.000 0.667 1
Pt1 Pt 0.000 0.000 0.327 1
```

=====

[2]
First-principles (GGA-PBE) data for a relaxed structure of Sc4Ru2Pt, as listed in the Alexandria database.

CIF file:
```
data_Sc4Ru2Pt
_chemical_formula_sum 'Sc12 Ru6 Pt3'
_space_group_name_H-M_alt 'R -3 m'
_space_group_IT_number 166
_space_group_name_Hall '-R 3 2"'
_cell_length_a 4.5678
_cell_length_b 4.5678
_cell_length_c 21.9487
_cell_angle_alpha 90.00
_cell_angle_beta 90.00
_cell_angle_gamma 120.00
loop_
_atom_site_label
_atom_site_type_symbol
_atom_site_fract_x
_atom_site_fract_y
_atom_site_fract_z
_atom_site_occupancy
Sc1 Sc 0.0000 0.0000 0.1199 1
Sc2 Sc 0.0000 0.0000 0.3710 1
Ru1 Ru 0.0000 0.0000 0.2474 1
Pt1 Pt 0.0000 0.0000 0.5000 1
```

=====

[3]
First-principles (GGA-PBE) data for a relaxed structure of ScRuPt, as listed in the Alexandria database.

CIF file:
```
data_ScRuPt
_chemical_formula_sum 'Sc4 Ru4 Pt4'
_space_group_name_H-M_alt 'F -4 3 m'
_space_group_IT_number 216
_space_group_name_Hall 'F -4 2 3'
_cell_length_a 6.128
_cell_length_b 6.128
_cell_length_c 6.128
_cell_angle_alpha 90.00
_cell_angle_beta 90.00
_cell_angle_gamma 90.00
loop_
_atom_site_label
_atom_site_type_symbol
_atom_site_fract_x
_atom_site_fract_y
_atom_site_fract_z
_atom_site_occupancy
Sc1 Sc 0.000 0.000 0.000 1
Ru1 Ru 0.250 0.250 0.750 1
Pt1 Pt 0.000 0.000 0.500 1
```

=====

[4]
First-principles (GGA-PBE) data for a relaxed structure of Sc4Ru3Pt, as listed in the Alexandria database.

CIF file:
```
data_Sc4Ru3Pt
_chemical_formula_sum 'Sc12 Ru9 Pt3'
_space_group_name_H-M_alt 'R -3 m'
_space_group_IT_number 166
_space_group_name_Hall '-R 3 2"'
_cell_length_a 4.5617
_cell_length_b 4.5617
_cell_length_c 22.2941
_cell_angle_alpha 90.00
_cell_angle_beta 90.00
_cell_angle_gamma 120.00
loop_
_atom_site_label
_atom_site_type_symbol
_atom_site_fract_x
_atom_site_fract_y
_atom_site_fract_z
_atom_site_occupancy
Sc1 Sc 0.0000 0.0000 0.1228 1
Sc2 Sc 0.0000 0.0000 0.3728 1
Ru1 Ru 0.0000 0.0000 0.0000 1
Ru2 Ru 0.0000 0.0000 0.2491 1
Pt1 Pt 0.0000 0.0000 0.5000 1
```

=====

[5]
First-principles (GGA-PBE) data for a relaxed structure of Sc5RuPt4, as listed in the Alexandria database.

CIF file:
```
data_Sc5RuPt4
_chemical_formula_sum 'Sc5 Ru1 Pt4'
_space_group_name_H-M_alt 'P 4/m m m'
_space_group_IT_number 123
_space_group_name_Hall '-P 4 2'
_cell_length_a 3.260
_cell_length_b 3.260
_cell_length_c 16.577
_cell_angle_alpha 90.00
_cell_angle_beta 90.00
_cell_angle_gamma 90.00
loop_
_atom_site_label
_atom_site_type_symbol
_atom_site_fract_x
_atom_site_fract_y
_atom_site_fract_z
_atom_site_occupancy
Sc1 Sc 0.000 0.000 0.000 1
Sc2 Sc 0.000 0.000 0.204 1
Sc3 Sc 0.000 0.000 0.406 1
Ru1 Ru 0.500 0.500 0.500 1
Pt1 Pt 0.500 0.500 0.103 1
Pt2 Pt 0.500 0.500 0.304 1
```

=====

[6]
First-principles (GGA-PBE) data for a relaxed structure of Sc2RuPt, as listed in the Alexandria database.

CIF file:
```
data_Sc2RuPt
_chemical_formula_sum 'Sc8 Ru4 Pt4'
_space_group_name_H-M_alt 'F -4 3 m'
_space_group_IT_number 216
_space_group_name_Hall 'F -4 2 3'
_cell_length_a 6.495
_cell_length_b 6.495
_cell_length_c 6.495
_cell_angle_alpha 90.00
_cell_angle_beta 90.00
_cell_angle_gamma 90.00
loop_
_atom_site_label
_atom_site_type_symbol
_atom_site_fract_x
_atom_site_fract_y
_atom_site_fract_z
_atom_site_occupancy
Sc1 Sc 0.000 0.000 0.000 1
Sc2 Sc 0.250 0.250 0.250 1
Ru1 Ru 0.250 0.250 0.750 1
Pt1 Pt 0.000 0.000 0.500 1
```

=====

ΔE_f list, top to bottom, in eV/atom: -0.382 -0.671 -0.105 -0.784 -1.143 -0.425
Total moment list, top to bottom, in μB/cell: 0.913 0.000 0.060 0.000 0.000 0.000
Fermi-level density of states list, top to bottom, in states/eV/cell: 7.9 9.9 20.1 10.7 3.0 21.7